PmZn5Au7 | Alexandria | PBE | relaxed; uncorrected energy = -2.975 eV per atom; formation energy from the elements = -4.6 eV/f.u.; SG = Imm2 (44); density of states at the Fermi level = 0.401 states/eV per atom
1.0
5.336 0.000 0.000
2.668 6.589 -0.077
2.668 -0.098 6.589
Au Zn Pm
7 5 1
Direct
0.511 0.181 0.796
0.649 0.351 0.351
0.325 0.675 0.675
0.511 0.796 0.181
0.995 0.343 0.666
0.271 0.229 0.229
0.995 0.666 0.343
0.006 0.996 0.495
0.735 0.765 0.765
0.502 0.996 0.495
0.502 0.495 0.996
0.006 0.495 0.996
0.991 0.009 0.009



Pm2Zn3Au5 | Alexandria | PBE | relaxed; uncorrected energy = -3.511 eV per atom; formation energy from the elements = -5.4 eV/f.u.; SG = Cmc2_1 (36); offset from the most stable computed form = 0 kJ/mol of formula units; density of states at the Fermi level = 0.556 states/eV per atom
1.0
-1.977 2.817 2.909
-3.992 -5.439 2.554
9.765 -3.911 6.932
Pm Zn Au
4 6 10
Direct
0.178 0.767 0.355
0.822 0.267 0.645
0.478 0.702 0.955
0.522 0.202 0.045
0.952 0.397 0.905
0.617 0.492 0.233
0.383 0.992 0.767
0.780 0.817 0.561
0.048 0.897 0.095
0.220 0.317 0.439
0.400 0.374 0.799
0.721 0.515 0.442
0.279 0.015 0.558
0.600 0.874 0.201
0.699 0.094 0.397
0.946 0.019 0.892
0.301 0.594 0.603
0.882 0.688 0.764
0.118 0.188 0.236
0.054 0.519 0.108



Pm4Zn5Au6 | Alexandria | PBE | relaxed; uncorrected energy = -3.552 eV per atom; formation energy from the elements = -8.3 eV/f.u.; SG = Cmc2_1 (36); density of states at the Fermi level = 0.566 states/eV per atom
1.0
-2.491 1.474 -2.849
0.598 -10.503 -3.061
-12.016 -3.255 8.821
Zn Au Pm
10 12 8
Direct
0.545 0.089 0.170
0.665 0.331 0.779
0.690 0.379 0.112
0.838 0.676 0.143
0.363 0.726 0.970
0.310 0.621 0.612
0.637 0.274 0.470
0.335 0.669 0.279
0.455 0.911 0.670
0.162 0.324 0.643
0.417 0.835 0.428
0.106 0.212 0.097
0.453 0.907 0.851
0.894 0.788 0.597
0.583 0.166 0.633
0.249 0.498 0.761
0.751 0.502 0.261
0.547 0.093 0.351
0.417 0.834 0.133
0.212 0.424 0.490
0.788 0.576 0.990
0.583 0.165 0.928
0.022 0.043 0.508
0.851 0.703 0.794
0.149 0.297 0.294
0.952 0.904 0.278
0.807 0.614 0.442
0.048 0.096 0.778
0.978 0.957 0.008
0.193 0.386 0.942



Pm2Zn15Au2 | Alexandria | PBE | relaxed; uncorrected energy = -2.147 eV per atom; formation energy from the elements = -5.6 eV/f.u.; SG = R-3m (166); density of states at the Fermi level = 0.345 states/eV per atom
1.0
6.881 -0.010 -0.009
0.883 6.825 -0.009
0.883 0.775 6.780
Zn Pm Au
15 2 2
Direct
0.294 0.706 0.000
0.648 0.163 0.648
0.648 0.648 0.163
0.352 0.352 0.837
0.706 0.000 0.294
0.000 0.500 0.000
0.837 0.352 0.352
0.706 0.294 0.000
0.000 0.294 0.706
0.163 0.648 0.648
0.000 0.706 0.294
0.500 0.000 0.000
0.000 0.000 0.500
0.294 0.000 0.706
0.352 0.837 0.352
0.660 0.660 0.660
0.340 0.340 0.340
0.109 0.109 0.109
0.891 0.891 0.891



PmZnAu2 | Alexandria | PBE | relaxed; uncorrected energy = -3.786 eV per atom; formation energy from the elements = -2.6 eV/f.u.; SG = Pnma (62); offset from the most stable computed form = 0 kJ/mol of formula units; density of states at the Fermi level = 0.635 states/eV per atom
1.0
-4.440 0.052 -1.290
1.790 -2.576 -6.264
-1.162 -9.591 3.612
Au Pm Zn
8 4 4
Direct
0.750 0.714 0.043
0.750 0.214 0.457
0.250 0.786 0.543
0.250 0.954 0.126
0.250 0.454 0.374
0.750 0.046 0.874
0.250 0.286 0.957
0.750 0.546 0.626
0.750 0.755 0.340
0.250 0.245 0.660
0.250 0.745 0.840
0.750 0.255 0.160
0.250 0.573 0.134
0.250 0.073 0.366
0.750 0.427 0.866
0.750 0.927 0.634



Pm3Zn2Au | Alexandria | PBE | relaxed; uncorrected energy = -3.825 eV per atom; formation energy from the elements = -2.9 eV/f.u.; SG = P4/mmm (123); offset from the most stable computed form = 0 kJ/mol of formula units; density of states at the Fermi level = 0.898 states/eV per atom
1.0
3.687 0.000 0.000
0.000 3.687 0.000
0.000 0.000 10.895
Pm Zn Au
3 2 1
Direct
0.000 0.000 0.331
0.000 0.000 0.669
0.000 0.000 0.000
0.500 0.500 0.160
0.500 0.500 0.840
0.500 0.500 0.500



PmZn2Au2 | Alexandria | PBE | relaxed; uncorrected energy = -3.304 eV per atom; formation energy from the elements = -2.7 eV/f.u.; SG = I4/mmm (139); offset from the most stable computed form = 0 kJ/mol of formula units; density of states at the Fermi level = 0.686 states/eV per atom
1.0
3.775 0.000 -1.411
-0.527 3.738 -1.411
0.428 0.493 6.903
Au Pm Zn
2 1 2
Direct
0.389 0.389 0.778
0.611 0.611 0.222
0.000 0.000 0.000
0.750 0.250 0.500
0.250 0.750 0.500



PmZnAu11 | Alexandria | PBE | relaxed; uncorrected energy = -3.465 eV per atom; formation energy from the elements = -3.0 eV/f.u.; SG = C2/m (12); density of states at the Fermi level = 0.319 states/eV per atom
1.0
-3.198 -2.177 -3.975
0.485 -7.185 -0.083
-6.734 -1.486 2.361
Au Zn Pm
11 1 1
Direct
0.658 0.349 0.340
0.342 0.651 0.660
0.500 0.000 0.500
0.002 0.651 0.340
0.696 0.782 0.790
0.998 0.349 0.660
0.000 0.500 0.000
0.000 0.000 0.500
0.304 0.218 0.210
0.513 0.218 0.790
0.487 0.782 0.210
0.500 0.500 0.000
0.000 0.000 0.000



PmZn2Au2 | Alexandria | PBE | relaxed; uncorrected energy = -3.248 eV per atom; formation energy from the elements = -2.4 eV/f.u.; SG = C2/m (12); offset from the most stable computed form = 27 kJ/mol of formula units; density of states at the Fermi level = 0.614 states/eV per atom
1.0
-4.470 -1.286 -0.874
1.450 -0.444 -4.483
2.547 -3.582 3.342
Zn Pm Au
2 1 2
Direct
0.608 0.608 0.761
0.392 0.392 0.239
0.000 0.000 0.500
0.228 0.772 0.000
0.772 0.228 0.000



Pm5Zn4Au | Alexandria | PBE | relaxed; uncorrected energy = -3.625 eV per atom; formation energy from the elements = -4.1 eV/f.u.; SG = P4/mmm (123); density of states at the Fermi level = 1.068 states/eV per atom
1.0
-0.356 -2.906 -2.229
3.214 -1.322 1.210
-8.682 -9.046 13.180
Zn Au Pm
4 1 5
Direct
0.000 0.000 0.600
0.000 0.000 0.796
0.000 0.000 0.400
0.000 0.000 0.204
0.000 0.000 0.000
0.500 0.500 0.300
0.500 0.500 0.899
0.500 0.500 0.700
0.500 0.500 0.500
0.500 0.500 0.101



Pm2Zn16Au | Alexandria | PBE | relaxed; uncorrected energy = -2.024 eV per atom; formation energy from the elements = -5.3 eV/f.u.; SG = R3m (160); density of states at the Fermi level = 0.316 states/eV per atom
1.0
6.803 0.047 0.820
0.733 6.764 0.820
0.052 0.047 6.852
Zn Pm Au
16 2 1
Direct
0.294 0.999 0.705
0.163 0.648 0.648
0.352 0.352 0.838
0.705 0.999 0.294
0.999 0.705 0.294
0.648 0.648 0.163
0.497 0.001 0.001
0.705 0.294 0.999
0.838 0.352 0.352
0.999 0.294 0.705
0.001 0.497 0.001
0.648 0.163 0.648
0.294 0.705 0.999
0.352 0.838 0.352
0.102 0.102 0.102
0.001 0.001 0.497
0.663 0.663 0.663
0.337 0.337 0.337
0.899 0.899 0.899



PmZn2Au | Alexandria | PBE | relaxed; uncorrected energy = -2.980 eV per atom; formation energy from the elements = -1.3 eV/f.u.; SG = P4/mmm (123); offset from the most stable computed form = 60 kJ/mol of formula units; density of states at the Fermi level = 0.718 states/eV per atom
1.0
4.630 0.000 0.000
0.000 4.279 0.000
0.000 0.000 4.279
Zn Au Pm
2 1 1
Direct
0.000 0.500 0.000
0.000 0.000 0.500
0.500 0.000 0.000
0.500 0.500 0.500



Q: Look up the density of states at the Fermi level of the eleventh one.
A: 0.316 states/eV per atom